(1)
Here is crystalline LiNbIrN2 at its relaxed geometry from the Alexandria database. Energies are from PBE. Values from VASP.

```
&SYSTEM
  ibrav = 0, nat = 5, ntyp = 4
/
ATOMIC_SPECIES
Li 6.94 Li.upf
N 14.01 N.upf
Ir 192.22 Ir.upf
Nb 92.91 Nb.upf
ATOMIC_POSITIONS angstrom
Li 1.916 2.669 1.916
N 0.000 0.000 1.916
N 1.916 0.000 0.000
Ir 0.000 0.000 0.000
Nb 0.000 2.669 0.000
CELL_PARAMETERS angstrom
3.832 0.000 0.000
0.000 5.337 0.000
0.000 0.000 3.832
```

(2)
Here is crystalline LiNbIrN2 at its relaxed geometry from the Alexandria database. Energies are from PBE. Values from VASP.

```
&SYSTEM
  ibrav = 0, nat = 5, ntyp = 4
/
ATOMIC_SPECIES
N 14.01 N.upf
Nb 92.91 Nb.upf
Li 6.94 Li.upf
Ir 192.22 Ir.upf
ATOMIC_POSITIONS angstrom
N 0.000 0.000 2.038
N 2.038 0.000 0.000
Nb 0.000 0.000 0.000
Li 2.038 2.566 2.038
Ir 0.000 2.566 0.000
CELL_PARAMETERS angstrom
4.075 0.000 0.000
0.000 5.132 0.000
0.000 0.000 4.075
```

(3)
Here is crystalline LiNi2IrN at its relaxed geometry from the Alexandria database. Energies are from PBE. Values from VASP.

```
&SYSTEM
  ibrav = 0, nat = 5, ntyp = 4
/
ATOMIC_SPECIES
Ni 58.69 Ni.upf
Ir 192.22 Ir.upf
N 14.01 N.upf
Li 6.94 Li.upf
ATOMIC_POSITIONS angstrom
Ni -1.851 0.454 -0.051
Ni -0.452 -1.851 -0.055
Ir -0.065 -0.042 1.965
N 0.000 0.000 0.000
Li -2.367 -1.439 1.860
CELL_PARAMETERS angstrom
-3.701 0.907 -0.102
-0.905 -3.702 -0.109
-0.129 -0.084 3.931
```

(4)
Here is crystalline LiIrNO2 at its relaxed geometry from the Alexandria database. Energies are from PBE. Values from VASP.

```
&SYSTEM
  ibrav = 0, nat = 5, ntyp = 4
/
ATOMIC_SPECIES
Ir 192.22 Ir.upf
O 16.00 O.upf
N 14.01 N.upf
Li 6.94 Li.upf
ATOMIC_POSITIONS angstrom
Ir 1.743 1.743 1.807
O 0.000 1.743 0.000
O 1.743 0.000 0.000
N 0.000 0.000 1.807
Li 0.000 0.000 0.000
CELL_PARAMETERS angstrom
3.486 0.000 0.000
0.000 3.486 0.000
0.000 0.000 3.613
```

(5)
Here is crystalline LiIrNO2 at its relaxed geometry from the Alexandria database. Energies are from PBE. Values from VASP.

```
&SYSTEM
  ibrav = 0, nat = 5, ntyp = 4
/
ATOMIC_SPECIES
O 16.00 O.upf
N 14.01 N.upf
Ir 192.22 Ir.upf
Li 6.94 Li.upf
ATOMIC_POSITIONS angstrom
O -0.433 -1.724 -0.857
O 1.056 0.522 -1.583
N 1.522 -0.762 0.764
Ir 0.000 0.000 0.000
Li 2.146 -1.964 -1.676
CELL_PARAMETERS angstrom
-0.865 -3.448 -1.715
2.113 1.044 -3.166
3.044 -1.525 1.529
```

(6)
Here is crystalline Li2IrPbN at its relaxed geometry from the Alexandria database. Energies are from PBE. Values from VASP.

```
&SYSTEM
  ibrav = 0, nat = 5, ntyp = 4
/
ATOMIC_SPECIES
Ir 192.22 Ir.upf
Pb 207.20 Pb.upf
Li 6.94 Li.upf
N 14.01 N.upf
ATOMIC_POSITIONS angstrom
Ir 0.000 0.000 1.904
Pb 2.220 2.220 1.904
Li 2.220 0.000 0.000
Li 0.000 2.220 0.000
N 0.000 0.000 0.000
CELL_PARAMETERS angstrom
4.439 0.000 0.000
0.000 4.439 0.000
0.000 0.000 3.808
```

(7)
Here is crystalline LiIrPt2N at its relaxed geometry from the Alexandria database. Energies are from PBE. Values from VASP.

```
&SYSTEM
  ibrav = 0, nat = 5, ntyp = 4
/
ATOMIC_SPECIES
Li 6.94 Li.upf
Pt 195.08 Pt.upf
Ir 192.22 Ir.upf
N 14.01 N.upf
ATOMIC_POSITIONS angstrom
Li 2.145 1.938 2.145
Pt 2.145 0.000 0.000
Pt 0.000 0.000 2.145
Ir 0.000 1.938 0.000
N 0.000 0.000 0.000
CELL_PARAMETERS angstrom
4.291 0.000 0.000
0.000 3.875 0.000
0.000 0.000 4.291
```

(8)
Here is crystalline LiIrRhN2 at its relaxed geometry from the Alexandria database. Energies are from PBE. Values from VASP.

```
&SYSTEM
  ibrav = 0, nat = 5, ntyp = 4
/
ATOMIC_SPECIES
N 14.01 N.upf
Ir 192.22 Ir.upf
Li 6.94 Li.upf
Rh 102.91 Rh.upf
ATOMIC_POSITIONS angstrom
N -1.672 0.751 0.392
N 0.223 -0.446 1.807
Ir -0.873 -1.770 -0.329
Li 0.000 0.000 0.000
Rh -2.321 -1.464 1.869
CELL_PARAMETERS angstrom
-3.343 1.503 0.784
-1.745 -3.540 -0.658
0.446 -0.892 3.613
```

Number 1: E_form (uncorrected) 1298.1 meV per atom. Number 2: E_form (uncorrected) 854.1 meV per atom. Number 3: E_form (uncorrected) -6.5 meV per atom. Number 4: E_form (uncorrected) 1056.2 meV per atom. Number 5: E_form (uncorrected) -231.7 meV per atom. Number 6: E_form (uncorrected) -264.1 meV per atom. Number 7: E_form (uncorrected) 249.2 meV per atom. Number 8: E_form (uncorrected) 2064.3 meV per atom.